Entry from Alexandria: a geometry-optimized Pr2SmTc structure (PBE).

Summary:
- uncorrected energy (eV per atom) = -5.8305
- E above lowest polymorph (eV/atom) = 0.299
- calculated volume (Å³ per cell) = 109
- formation energy (kJ per mole of atoms) = 32

POSCAR file:
```
Pr2SmTc
1.0
5.645 0.000 0.000
2.822 4.889 0.000
2.822 1.630 3.949
Tc Pr Sm
1 2 1
Direct
0.000 0.000 0.000
0.766 0.766 0.703
0.234 0.234 0.297
0.500 0.500 0.500
```